Below is a geometry-optimized HgSbRu2Au structure, with properties calculated at the GGA-PBE level.

Structure (extended XYZ):
```
5
Lattice="-2.4127 2.5783 -3.6338 3.4204 -1.7109 -3.4849 -2.9381 -4.0272 -0.9066" Properties=species:S:1:pos:R:3 pbc="T T T"
Sb 1.7102 -0.8554 -1.7424
Au 0.0000 0.0000 0.0000
Hg -0.9652 -1.5799 -4.0127
Ru -1.4691 -2.0136 -0.4533
Ru -1.2063 1.2891 -1.8169
```

density of states at the Fermi level: 8.67 states/eV/cell
final energy: -18.3 eV for the cell shown
space-group type: No. 123

=====

Below is a geometry-optimized Sc5Hg2RuAu2 structure, with properties calculated at the GGA-PBE level.

Structure (extended XYZ):
```
20
Lattice="-1.8113 2.3217 -1.5233 -5.4221 2.1733 9.7600 7.8333 7.8235 2.6096" Properties=species:S:1:pos:R:3 pbc="T T T"
Sc -1.0274 2.3110 1.1361
Sc 1.6273 10.0075 9.7103
Sc 5.0703 7.8916 2.3911
Sc -1.3956 5.7375 6.7966
Sc -4.4704 4.4269 8.4552
Sc 1.9955 6.5810 4.0498
Sc 1.0680 7.6886 6.8409
Sc -0.4681 4.6299 4.0054
Sc -3.6167 2.2475 4.1184
Sc 3.0110 5.0726 0.5432
Hg -2.3227 2.6964 6.8719
Hg 4.7340 7.3003 5.4977
Hg 1.7821 3.0019 2.4563
Hg 0.6292 6.9949 9.9134
Ru 0.0000 0.0000 0.0000
Ru 1.2056 4.9984 6.1848
Au 4.2498 5.2931 3.0140
Au -1.8386 4.7037 9.3556
Au 3.2907 8.1294 8.4776
Au -0.8794 1.8674 3.8920
```

density of states at the Fermi level: 15.15 states/eV/cell
energy relative to the elements: -0.4810 eV/atom
final energy: -105.8 eV for the cell shown
space-group type: No. 127

=====

Below is a geometry-optimized SrHgRuAu2 structure, with properties calculated at the GGA-PBE level.

Structure (extended XYZ):
```
5
Lattice="5.6579 0.0000 0.0000 0.0000 6.0072 0.0000 0.0000 0.0000 5.6579" Properties=species:S:1:pos:R:3 pbc="T T T"
Ru 2.8290 3.0036 2.8290
Au 0.0000 0.0000 2.8290
Au 2.8290 0.0000 0.0000
Hg 0.0000 3.0036 0.0000
Sr 0.0000 0.0000 0.0000
```

density of states at the Fermi level: 7.17 states/eV/cell
energy relative to the elements: 1.3319 eV/atom
final energy: -11.2 eV for the cell shown
space-group type: No. 123

=====

Below is a geometry-optimized Tb4HgRuAu2 structure, with properties calculated at the GGA-PBE level.

Structure (extended XYZ):
```
8
Lattice="5.1072 0.0000 0.0000 2.5536 4.4230 0.0000 2.5536 1.4743 8.2371" Properties=species:S:1:pos:R:3 pbc="T T T"
Tb 5.1072 2.9486 6.9981
Tb 7.6608 4.4230 3.2591
Tb 2.5536 1.4743 4.9780
Tb 5.1072 2.9486 1.2389
Hg 0.0000 0.0000 0.0000
Ru 5.1072 2.9486 4.1185
Au 7.6608 4.4230 6.3273
Au 2.5536 1.4743 1.9098
```

density of states at the Fermi level: 5.76 states/eV/cell
energy relative to the elements: -0.6320 eV/atom
final energy: -39.7 eV for the cell shown
space-group type: No. 166

=====

Below is a geometry-optimized Tb4HgRu2Au structure, with properties calculated at the GGA-PBE level.

Structure (extended XYZ):
```
8
Lattice="5.0116 0.0000 0.0000 2.5058 4.3402 0.0000 2.5058 1.4467 8.1762" Properties=species:S:1:pos:R:3 pbc="T T T"
Tb 5.0116 2.8935 7.1029
Tb 7.5174 4.3402 3.1136
Tb 2.5058 1.4467 5.0626
Tb 5.0116 2.8935 1.0733
Hg 0.0000 0.0000 0.0000
Ru 7.5174 4.3402 6.1418
Ru 2.5058 1.4467 2.0343
Au 5.0116 2.8935 4.0881
```

density of states at the Fermi level: 5.61 states/eV/cell
energy relative to the elements: -0.4573 eV/atom
final energy: -44.3 eV for the cell shown
space-group type: No. 166

=====

Below is a geometry-optimized HgTeRu2Au structure, with properties calculated at the GGA-PBE level.

Structure (extended XYZ):
```
5
Lattice="5.0836 0.0000 0.0000 0.0000 5.0680 0.0000 0.0000 0.0000 5.0836" Properties=species:S:1:pos:R:3 pbc="T T T"
Ru 0.0000 0.0000 2.5418
Ru 2.5418 0.0000 0.0000
Te 2.5418 2.5340 2.5418
Au 0.0000 2.5340 0.0000
Hg 0.0000 0.0000 0.0000
```

density of states at the Fermi level: 14.39 states/eV/cell
final energy: -16.8 eV for the cell shown
space-group type: No. 123

=====

Below is a geometry-optimized Th2HgRuAu structure, with properties calculated at the GGA-PBE level.

Structure (extended XYZ):
```
10
Lattice="-3.2794 0.3343 2.2142 -4.5346 -2.2603 -6.3749 2.5161 -6.5265 4.7117" Properties=species:S:1:pos:R:3 pbc="T T T"
Th -4.7730 -5.8643 -0.8427
Th -3.2155 -7.8350 1.7616
Th -0.5249 -2.5882 1.3938
Th -2.0824 -0.6175 -1.2106
Hg -3.2837 -3.4699 -2.5592
Hg -2.0142 -4.9826 3.1102
Ru -2.6601 -7.6724 -1.0011
Ru -2.6378 -0.7801 1.5522
Au -1.6403 -5.3456 0.1580
Au -3.6576 -3.1069 0.3931
```

density of states at the Fermi level: 7.67 states/eV/cell
energy relative to the elements: -0.4453 eV/atom
final energy: -59.8 eV for the cell shown
space-group type: No. 11

=====

Below is a geometry-optimized Tl2HgRuAu structure, with properties calculated at the GGA-PBE level.

Structure (extended XYZ):
```
5
Lattice="5.2331 0.0000 0.0000 0.0000 5.2462 0.0000 0.0000 0.0000 5.2331" Properties=species:S:1:pos:R:3 pbc="T T T"
Ru 0.0000 0.0000 0.0000
Tl 0.0000 0.0000 2.6165
Tl 2.6165 0.0000 0.0000
Au 2.6165 2.6231 2.6165
Hg 0.0000 2.6231 0.0000
```

density of states at the Fermi level: 3.61 states/eV/cell
energy relative to the elements: 0.5300 eV/atom
final energy: -14.9 eV for the cell shown
space-group type: No. 123

=====

Below is a geometry-optimized Tm4HgRu2Au structure, with properties calculated at the GGA-PBE level.

Structure (extended XYZ):
```
8
Lattice="4.9256 0.0000 0.0000 2.4628 4.2657 0.0000 2.4628 1.4219 8.0238" Properties=species:S:1:pos:R:3 pbc="T T T"
Tm 4.9256 2.8438 6.9732
Tm 7.3885 4.2657 3.0578
Tm 2.4628 1.4219 4.9660
Tm 4.9256 2.8438 1.0506
Hg 0.0000 0.0000 0.0000
Ru 7.3885 4.2657 6.0239
Ru 2.4628 1.4219 2.0000
Au 4.9256 2.8438 4.0119
```

density of states at the Fermi level: 4.86 states/eV/cell
energy relative to the elements: -0.5237 eV/atom
final energy: -44.2 eV for the cell shown
space-group type: No. 166

=====

Below is a geometry-optimized Hg3AuS structure, with properties calculated at the GGA-PBE level.

Structure (extended XYZ):
```
5
Lattice="-1.1303 -1.4747 -4.9343 3.6937 -3.7524 0.2754 -3.5887 -3.3977 1.8376" Properties=species:S:1:pos:R:3 pbc="T T T"
S 0.0000 0.0000 0.0000
Au -0.5127 -4.3124 -1.4107
Hg 1.8469 -1.8762 0.1377
Hg -1.7944 -1.6989 0.9188
Hg -0.5652 -0.7374 -2.4672
```

relative energy among the computed polymorphs: 23 meV/atom
density of states at the Fermi level: 1.22 states/eV/cell
final energy: -6.1 eV for the cell shown
space-group type: No. 221

=====

Below is a geometry-optimized Hg2AuS structure, with properties calculated at the GGA-PBE level.

Structure (extended XYZ):
```
8
Lattice="-6.8949 -1.6774 -0.0253 0.2224 -1.0201 7.0188 -4.2881 2.5546 4.0942" Properties=species:S:1:pos:R:3 pbc="T T T"
S -3.3362 -1.3488 3.4967
S -3.7009 0.0929 7.3049
Au 0.0000 0.0000 0.0000
Au -7.2596 -0.2358 3.7828
Hg -5.2275 -0.5066 1.8855
Hg -1.9209 -0.2392 5.4067
Hg -5.7142 0.8858 5.8215
Hg -9.0585 -0.4257 9.0616
```

density of states at the Fermi level: 2.08 states/eV/cell
final energy: -14.4 eV for the cell shown
space-group type: No. 122

=====

Below is a geometry-optimized Hg2Au2S structure, with properties calculated at the GGA-PBE level.

Structure (extended XYZ):
```
10
Lattice="-1.5079 -7.2609 -0.6309 6.6722 -1.1160 -3.1029 1.5479 -0.6304 3.5552" Properties=species:S:1:pos:R:3 pbc="T T T"
S 0.0000 0.0000 0.0000
S 2.5822 -4.1884 -1.8669
Au 4.7816 -1.9624 -0.2594
Au 5.6286 -5.8606 -1.3193
Au 1.9307 -7.0448 0.0807
Au 1.0837 -3.1466 1.1407
Hg 5.0329 -3.3102 -2.7782
Hg 3.2307 -6.7653 -2.6062
Hg 0.1315 -5.0666 -0.9556
Hg 1.9337 -1.6115 -1.1276
```

relative energy among the computed polymorphs: 144 meV/atom
density of states at the Fermi level: 2.27 states/eV/cell
final energy: -19.5 eV for the cell shown
space-group type: No. 127